Density functional theory data (PBE) for crystalline TbNdPI at its relaxed geometry.

a = 7.9704 Å, b = 7.9704 Å, c = 7.9704 Å
α = 30.00°, β = 30.00°, γ = 30.00°
Sites, in units of the cell vectors:
Tb  0.0000  0.0000  0.0000
Nd  0.7950  0.7950  0.7950
P  0.3923  0.3923  0.3923
I  0.5674  0.5674  0.5674

Results
As for the uncorrected formation energy: -5.4 eV/f.u. The total energy is -21.8 eV/f.u. The value obtained for the density of states at the Fermi level is 0.7 states/eV per cell. As for the crystal system: trigonal.


Density functional theory data (PBE) for crystalline Er2ThCu at its relaxed geometry.

a = 9.9276 Å, b = 9.9276 Å, c = 9.9276 Å
α = 20.79°, β = 20.79°, γ = 20.79°
Sites, in units of the cell vectors:
Er  0.2346  0.2346  0.2346
Er  0.7654  0.7654  0.7654
Th  0.0000  0.0000  0.0000
Cu  0.5000  0.5000  0.5000

Results
The relative energy among the computed polymorphs comes out at 50 kJ/mol of formula units. The calculation puts the formation energy at 0.028 eV per atom. The total energy is -20.5 eV/f.u. The value obtained for the density of states at the Fermi level is 5.4 states/eV per cell. As for the crystal system: trigonal.